Material: RbTc2SnP
Method: DFT, SCAN
State: single point on PBEsol structure

Cell: 4.757 4.757 5.315 Å, 90.00 90.00 90.00°
Element x y z (fractional)
Rb 0.000 0.000 0.000
Tc 0.000 0.500 0.000
Tc 0.500 0.000 0.000
Sn 0.500 0.500 0.500
P 0.000 0.000 0.500

***

Material: RbTiP2
Method: DFT, SCAN
State: single point on PBEsol structure

Cell: 8.335 8.335 8.335 Å, 139.97 139.97 57.90°
Element x y z (fractional)
Rb 0.375 0.625 0.750
Rb 0.625 0.375 0.250
Ti 0.125 0.875 0.250
Ti 0.875 0.125 0.750
P 0.000 0.000 0.000
P 0.000 0.000 0.500
P 0.000 0.500 0.000
P 0.500 0.000 0.500

Polymorph energy (0 for the lowest one): 0 kJ/mol of formula units

***

Material: RbTiP2
Method: DFT, SCAN
State: single point on PBEsol structure

Cell: 4.773 4.773 4.773 Å, 60.00 60.00 60.00°
Element x y z (fractional)
Rb 0.000 0.000 0.000
Ti 0.500 0.500 0.500
P 0.250 0.250 0.250
P 0.750 0.750 0.750

Polymorph energy (0 for the lowest one): 326 kJ/mol of formula units

***

Material: RbTl2P
Method: DFT, SCAN
State: single point on PBEsol structure

Cell: 5.401 5.401 5.401 Å, 60.00 60.00 60.00°
Element x y z (fractional)
Rb 0.000 0.000 0.000
Tl 0.250 0.250 0.250
Tl 0.750 0.750 0.750
P 0.500 0.500 0.500

***

Number 1: formation enthalpy at 0 K 2.908 eV/atom. Number 2: formation enthalpy at 0 K -0.517 eV/atom. Number 3: formation enthalpy at 0 K 0.327 eV/atom. Number 4: formation enthalpy at 0 K 0.054 eV/atom.